Crystalline ZrZnPt2 at its relaxed geometry. Source: Alexandria via LeMat-Bulk, functional PBE-GGA.

```
ZrZnPt2
1.0
2.896 -3.188 0.000
2.896 3.188 0.000
0.000 0.000 3.671
Zr Zn Pt
1 1 2
direct
0.000 0.000 0.000
0.500 0.500 0.000
0.000 0.500 0.500
0.500 0.000 0.500
```

Summary:
- ρ: 13.40 g/cm³
- Formation energy from the elements: -0.72 eV per atom
- Calculated volume: 16.94 A^3/atom
- Density of states at the Fermi level: 0.48 states/eV per atom

Crystalline ZrZnPt2 at its relaxed geometry. Source: Alexandria via LeMat-Bulk, functional PBE-GGA.

```
ZrZnPt2
1.0
1.454 0.839 9.250
-1.454 0.839 9.250
0.000 -1.679 9.250
Zr Zn Pt
1 1 2
direct
0.000 0.000 0.000
0.756 0.756 0.756
0.250 0.250 0.250
0.496 0.496 0.496
```

Summary:
- ρ: 13.41 g/cm³
- Formation energy from the elements: -0.34 eV per atom
- Calculated volume: 16.93 A^3/atom
- Density of states at the Fermi level: 0.76 states/eV per atom

Crystalline ZrZn5Pt6 at its relaxed geometry. Source: Alexandria via LeMat-Bulk, functional PBE-GGA.

```
ZrZn5Pt6
1.0
4.109 0.000 0.000
0.000 7.316 0.000
-2.047 0.000 6.120
Zr Zn Pt
1 5 6
direct
0.000 0.000 0.000
0.000 0.500 0.000
0.327 0.000 0.654
0.336 0.500 0.672
0.664 0.500 0.328
0.673 0.000 0.346
0.169 0.256 0.337
0.169 0.744 0.337
0.500 0.257 0.000
0.500 0.743 0.000
0.831 0.256 0.663
0.831 0.744 0.663
```

Summary:
- ρ: 14.34 g/cm³
- Formation energy from the elements: -0.66 eV per atom
- Calculated volume: 15.33 A^3/atom
- Density of states at the Fermi level: 0.29 states/eV per atom

Crystalline Zr2ZnPt6 at its relaxed geometry. Source: Alexandria via LeMat-Bulk, functional PBE-GGA.

```
Zr2ZnPt6
1.0
6.350 -3.690 0.000
6.350 3.690 0.000
-1.160 0.000 3.667
Zr Zn Pt
2 1 6
direct
0.154 0.154 0.154
0.846 0.846 0.846
0.500 0.500 0.500
0.103 0.567 0.335
0.270 0.730 0.000
0.433 0.897 0.665
0.567 0.103 0.335
0.730 0.270 0.000
0.897 0.433 0.665
```

Summary:
- ρ: 13.70 g/cm³
- Formation energy from the elements: -0.66 eV per atom
- Calculated volume: 19.10 A^3/atom
- Density of states at the Fermi level: 0.50 states/eV per atom

Crystalline ZrZnPt2 at its relaxed geometry. Source: Alexandria via LeMat-Bulk, functional PBE-GGA.

```
ZrZnPt2
1.0
0.000 3.238 3.238
3.238 0.000 3.238
3.238 3.238 0.000
Zr Zn Pt
1 1 2
direct
0.000 0.000 0.000
0.500 0.500 0.500
0.250 0.250 0.250
0.750 0.750 0.750
```

Summary:
- ρ: 13.38 g/cm³
- Formation energy from the elements: -0.83 eV per atom
- Calculated volume: 16.97 A^3/atom
- Density of states at the Fermi level: 0.55 states/eV per atom

Crystalline Zr4ZnPt at its relaxed geometry. Source: Alexandria via LeMat-Bulk, functional PBE-GGA.

```
Zr4ZnPt
1.0
-3.392 3.392 2.649
3.392 -3.392 2.649
3.392 3.392 -2.649
Zr Zn Pt
4 1 1
direct
0.093 0.593 0.187
0.407 0.907 0.813
0.593 0.407 0.500
0.907 0.093 0.500
0.500 0.500 0.000
0.000 0.000 0.000
```

Summary:
- ρ: 8.52 g/cm³
- Formation energy from the elements: -0.46 eV per atom
- Calculated volume: 20.33 A^3/atom
- Density of states at the Fermi level: 1.13 states/eV per atom

Crystalline ZrZnPt6 at its relaxed geometry. Source: Alexandria via LeMat-Bulk, functional PBE-GGA.

```
ZrZnPt6
1.0
4.011 0.000 0.000
0.000 4.011 0.000
0.000 0.000 7.912
Zr Zn Pt
1 1 6
direct
0.000 0.000 0.000
0.000 0.000 0.500
0.000 0.500 0.255
0.000 0.500 0.745
0.500 0.000 0.255
0.500 0.000 0.745
0.500 0.500 0.000
0.500 0.500 0.500
```

Summary:
- ρ: 17.31 g/cm³
- Formation energy from the elements: -0.72 eV per atom
- Calculated volume: 15.91 A^3/atom
- Density of states at the Fermi level: 0.94 states/eV per atom

Crystalline ZrZnPt2 at its relaxed geometry. Source: Alexandria via LeMat-Bulk, functional PBE-GGA.

```
ZrZnPt2
1.0
2.950 -3.830 0.000
2.950 3.830 0.000
0.000 0.000 2.966
Zr Zn Pt
1 1 2
direct
0.000 0.000 0.000
0.500 0.500 0.000
0.000 0.500 0.500
0.500 0.000 0.500
```

Summary:
- ρ: 13.55 g/cm³
- Formation energy from the elements: -0.68 eV per atom
- Calculated volume: 16.76 A^3/atom
- Density of states at the Fermi level: 0.47 states/eV per atom

Crystalline Zr2Zn3Pt4 at its relaxed geometry. Source: Alexandria via LeMat-Bulk, functional PBE-GGA.

```
Zr2Zn3Pt4
1.0
2.686 -7.511 0.000
2.686 7.511 0.000
0.000 0.000 7.542
Zr Zn Pt
4 6 8
direct
0.105 0.895 0.908
0.395 0.605 0.408
0.605 0.395 0.592
0.895 0.105 0.092
0.000 0.000 0.500
0.018 0.482 0.750
0.482 0.018 0.250
0.500 0.500 0.000
0.518 0.982 0.750
0.982 0.518 0.250
0.174 0.826 0.528
0.190 0.310 0.750
0.310 0.190 0.250
0.326 0.674 0.028
0.674 0.326 0.972
0.690 0.810 0.750
0.810 0.690 0.250
0.826 0.174 0.472
```

Summary:
- ρ: 12.65 g/cm³
- Formation energy from the elements: -0.70 eV per atom
- Calculated volume: 16.91 A^3/atom
- Density of states at the Fermi level: 0.71 states/eV per atom

Crystalline Zr2Zn3Pt2 at its relaxed geometry. Source: Alexandria via LeMat-Bulk, functional PBE-GGA.

```
Zr2Zn3Pt2
1.0
4.678 -2.154 0.000
4.678 2.154 0.000
-2.210 0.000 6.022
Zr Zn Pt
2 3 2
direct
0.148 0.148 0.269
0.852 0.852 0.731
0.389 0.389 0.066
0.500 0.500 0.500
0.611 0.611 0.934
0.152 0.152 0.702
0.848 0.848 0.298
```

Summary:
- ρ: 10.52 g/cm³
- Formation energy from the elements: -0.70 eV per atom
- Calculated volume: 17.34 A^3/atom
- Density of states at the Fermi level: 0.64 states/eV per atom

Crystalline Zr2Zn15Pt2 at its relaxed geometry. Source: Alexandria via LeMat-Bulk, functional PBE-GGA.

```
Zr2Zn15Pt2
1.0
4.412 2.547 4.334
-4.412 2.547 4.334
0.000 -5.095 4.334
Zr Zn Pt
2 15 2
direct
0.164 0.164 0.164
0.836 0.836 0.836
0.000 0.500 0.500
0.142 0.142 0.660
0.142 0.660 0.142
0.208 0.500 0.792
0.208 0.792 0.500
0.340 0.858 0.858
0.500 0.000 0.500
0.500 0.208 0.792
0.500 0.500 0.000
0.500 0.792 0.208
0.660 0.142 0.142
0.792 0.208 0.500
0.792 0.500 0.208
0.858 0.340 0.858
0.858 0.858 0.340
0.385 0.385 0.385
0.615 0.615 0.615
```

Summary:
- ρ: 8.83 g/cm³
- Formation energy from the elements: -0.25 eV per atom
- Calculated volume: 15.38 A^3/atom
- Density of states at the Fermi level: 0.31 states/eV per atom

Crystalline ZrZn2Pt9 at its relaxed geometry. Source: Alexandria via LeMat-Bulk, functional PBE-GGA.

```
ZrZn2Pt9
1.0
3.986 0.000 0.000
0.000 3.986 0.000
0.000 0.000 11.835
Zr Zn Pt
1 2 9
direct
0.000 0.000 0.000
0.000 0.000 0.341
0.000 0.000 0.659
0.000 0.500 0.172
0.000 0.500 0.500
0.000 0.500 0.828
0.500 0.000 0.172
0.500 0.000 0.500
0.500 0.000 0.828
0.500 0.500 0.000
0.500 0.500 0.336
0.500 0.500 0.664
```

Summary:
- ρ: 17.47 g/cm³
- Formation energy from the elements: -0.59 eV per atom
- Calculated volume: 15.67 A^3/atom
- Density of states at the Fermi level: 0.95 states/eV per atom